(1)
The following is a PBE-GGA calculation of a relaxed structure of CdHgCl4, from Alexandria via LeMat-Bulk.

Structure (POSCAR):
```
CdHgCl4
1.0
6.844 0.000 0.000
0.000 3.938 0.000
-6.735 0.000 12.668
Cd Hg Cl
2 2 8
Direct
0.000 0.000 0.000 Cd
0.000 0.500 0.500 Cd
0.500 0.000 0.500 Hg
0.500 0.500 0.000 Hg
0.048 0.001 0.386 Cl
0.048 0.499 0.886 Cl
0.442 0.514 0.615 Cl
0.442 0.986 0.115 Cl
0.558 0.014 0.885 Cl
0.558 0.486 0.385 Cl
0.952 0.501 0.114 Cl
0.952 0.999 0.614 Cl
```

## Properties
M_tot in μB/cell: 0.00
Energy relative to the elements, uncorrected in kJ/mol of atoms: -79.3



(2)
The following is a PBE-GGA calculation of a relaxed structure of CdInHg2Cl, from Alexandria via LeMat-Bulk.

Structure (POSCAR):
```
CdInHg2Cl
1.0
5.798 0.000 0.000
0.000 5.798 0.000
0.000 0.000 5.490
Cd In Hg Cl
1 1 2 1
Direct
0.000 0.000 0.000 Cd
0.500 0.500 0.500 In
0.000 0.500 0.500 Hg
0.500 0.000 0.500 Hg
0.500 0.500 0.000 Cl
```

## Properties
M_tot in μB/cell: 0.00
Energy relative to the elements, uncorrected in kJ/mol of atoms: -14.4



(3)
The following is a PBE-GGA calculation of a relaxed structure of CdInHgCl, from Alexandria via LeMat-Bulk.

Structure (POSCAR):
```
CdInHgCl
1.0
7.606 0.000 0.000
0.000 7.606 0.000
0.000 0.000 7.606
Cd In Hg Cl
4 4 4 4
Direct
0.000 0.000 0.000 Cd
0.000 0.500 0.500 Cd
0.500 0.000 0.500 Cd
0.500 0.500 0.000 Cd
0.000 0.000 0.500 In
0.000 0.500 0.000 In
0.500 0.000 0.000 In
0.500 0.500 0.500 In
0.250 0.250 0.250 Hg
0.250 0.750 0.750 Hg
0.750 0.250 0.750 Hg
0.750 0.750 0.250 Hg
0.250 0.250 0.750 Cl
0.250 0.750 0.250 Cl
0.750 0.250 0.250 Cl
0.750 0.750 0.750 Cl
```

## Properties
M_tot in μB/cell: 0.00
Energy relative to the elements, uncorrected in kJ/mol of atoms: -24.1



(4)
The following is a PBE-GGA calculation of a relaxed structure of KCdHg2Cl8, from Alexandria via LeMat-Bulk.

Structure (POSCAR):
```
KCdHg2Cl8
1.0
6.706 0.000 0.000
-3.353 5.808 0.000
0.000 0.000 9.235
K Cd Hg Cl
1 1 2 8
Direct
0.000 0.000 0.000 K
0.000 0.000 0.500 Cd
0.333 0.667 0.732 Hg
0.667 0.333 0.268 Hg
0.031 0.705 0.325 Cl
0.295 0.326 0.325 Cl
0.326 0.031 0.675 Cl
0.333 0.667 0.007 Cl
0.667 0.333 0.993 Cl
0.674 0.969 0.325 Cl
0.705 0.674 0.675 Cl
0.969 0.295 0.675 Cl
```

## Properties
M_tot in μB/cell: 0.68
Energy relative to the elements, uncorrected in kJ/mol of atoms: -75.7



(5)
The following is a PBE-GGA calculation of a relaxed structure of K3CdHg2Cl9, from Alexandria via LeMat-Bulk.

Structure (POSCAR):
```
K3CdHg2Cl9
1.0
7.509 0.000 0.000
-3.755 6.503 0.000
0.000 0.000 9.191
K Cd Hg Cl
3 1 2 9
Direct
0.000 0.000 0.000 K
0.333 0.667 0.667 K
0.667 0.333 0.333 K
0.000 0.000 0.500 Cd
0.333 0.667 0.169 Hg
0.667 0.333 0.831 Hg
0.000 0.500 0.000 Cl
0.165 0.331 0.336 Cl
0.165 0.835 0.336 Cl
0.331 0.165 0.664 Cl
0.500 0.000 0.000 Cl
0.500 0.500 0.000 Cl
0.669 0.835 0.336 Cl
0.835 0.165 0.664 Cl
0.835 0.669 0.664 Cl
```

## Properties
M_tot in μB/cell: 0.00
Energy relative to the elements, uncorrected in kJ/mol of atoms: -114.9



(6)
The following is a PBE-GGA calculation of a relaxed structure of KCd2HgCl8, from Alexandria via LeMat-Bulk.

Structure (POSCAR):
```
KCd2HgCl8
1.0
6.296 0.000 0.000
0.000 8.013 0.000
-0.507 0.000 6.892
K Cd Hg Cl
1 2 1 8
Direct
0.000 0.000 0.000 K
0.500 0.256 0.500 Cd
0.500 0.744 0.500 Cd
0.000 0.500 0.000 Hg
0.262 0.287 0.143 Cl
0.262 0.500 0.624 Cl
0.262 0.713 0.143 Cl
0.301 0.000 0.648 Cl
0.699 0.000 0.352 Cl
0.738 0.287 0.857 Cl
0.738 0.500 0.376 Cl
0.738 0.713 0.857 Cl
```

## Properties
M_tot in μB/cell: 1.10
Energy relative to the elements, uncorrected in kJ/mol of atoms: -87.7